Entry 1:
Compound: Li2ZrAl
Source: Alexandria
Functional: GGA-PBE
Structure: relaxed

abc: 4.7728 4.7728 5.9930
angles: 84.98 84.98 33.80
Atoms (fractional coordinates):
1 Li 0.2520 0.2520 0.2135
2 Li 0.0072 0.0072 0.9969
3 Al 0.7490 0.7490 0.7700
4 Zr 0.4919 0.4919 0.5197

Calculated values
DFT formation energy, eV per atom: 0.06
Final energy, eV per cell: -15.86

=====

Entry 2:
Compound: CdHg2W
Source: Alexandria
Functional: GGA-PBE
Structure: relaxed

abc: 5.8630 5.8630 2.9128
angles: 76.64 76.64 116.91
Atoms (fractional coordinates):
1 Cd 0.0000 0.5000 0.5000
2 W 0.5000 0.0000 0.5000
3 Hg 0.0000 0.0000 0.0000
4 Hg 0.5000 0.5000 0.0000

Calculated values
DFT formation energy, eV per atom: 0.66
Final energy, eV per cell: -11.85

=====

Entry 3:
Compound: RbBiIBr2
Source: Alexandria
Functional: GGA-PBE
Structure: relaxed

abc: 5.9312 5.9312 6.3155
angles: 90.00 90.00 90.00
Atoms (fractional coordinates):
1 Rb 0.5000 0.5000 0.5000
2 Br 0.0000 0.5000 0.0000
3 Br 0.5000 0.0000 0.0000
4 Bi 0.0000 0.0000 0.0000
5 I 0.0000 0.0000 0.5000

Calculated values
Final energy, eV per cell: -14.25
Uncorrected formation energy, eV/atom: -0.90

=====

Number 1: N(E_F) 1.9 states/eV per cell. Number 2: N(E_F) 2.3 states/eV per cell. Number 3: N(E_F) 0.3 states/eV per cell.